# 1
AlAsP2 | SCAN | single point on PBEsol structure

a = 5.4401 Å, b = 5.4401 Å, c = 7.0400 Å
α = 112.73°, β = 112.73°, γ = 90.00°
Element x y z (fractional)
P1 0.3943 0.8750 0.2500
P2 0.1250 0.1443 0.7500
P3 0.8557 0.3750 0.2500
P4 0.6250 0.6057 0.7500
Al1 0.5000 0.5000 0.0000
Al2 0.7500 0.2500 0.5000
As1 0.0000 0.0000 0.0000
As2 0.2500 0.7500 0.5000

Output
polymorph energy (0 for the lowest one) = 0 meV/atom
M_tot = 0.00 μB/atom
space-group type = I-42d
calculated formation energy = -0.014 eV/atom
total energy = -12.199 eV per atom

# 2
Be4AgAu | SCAN | single point on PBEsol structure

a = 4.4849 Å, b = 4.4849 Å, c = 4.4849 Å
α = 60.00°, β = 60.00°, γ = 60.00°
Element x y z (fractional)
Be1 0.3748 0.3748 0.8757
Be2 0.3748 0.8757 0.3748
Be3 0.3748 0.3748 0.3748
Be4 0.8757 0.3748 0.3748
Au1 0.0000 0.0000 0.0000
Ag1 0.7500 0.7500 0.7500

Output
M_tot = 0.00 μB/atom
space-group type = F-43m
calculated formation energy = -0.183 eV/atom
total energy = -19.840 eV per atom

# 3
Zr2TaSb | SCAN | single point on PBEsol structure

a = 3.4987 Å, b = 4.5929 Å, c = 5.5393 Å
α = 90.00°, β = 108.33°, γ = 90.00°
Element x y z (fractional)
Zr1 0.0179 0.0000 0.9120
Zr2 0.7255 0.5000 0.3251
Ta1 0.4625 0.5000 0.8008
Sb1 0.2940 0.0000 0.4622

Output
M_tot = 0.00 μB/atom
space-group type = Pm
formation energy from raw total energies = -1.1 eV/f.u.
total energy = -41.587 eV per atom

# 4
Zr5Sn4 | SCAN | single point on PBEsol structure

a = 5.8953 Å, b = 8.7132 Å, c = 8.7132 Å
α = 120.00°, β = 90.00°, γ = 90.00°
Element x y z (fractional)
Zr1 0.0000 0.6667 0.3333
Zr2 0.2500 0.0000 0.7193
Zr3 0.0000 0.3333 0.6667
Zr4 0.7500 0.7193 0.7193
Zr5 0.5000 0.3333 0.6667
Zr6 0.2500 0.7193 0.0000
Zr7 0.5000 0.6667 0.3333
Zr8 0.2500 0.2807 0.2807
Zr9 0.7500 0.0000 0.2807
Zr10 0.7500 0.2807 0.0000
Sn1 0.0000 0.0000 0.0000
Sn2 0.2500 0.6142 0.6142
Sn3 0.5000 0.0000 0.0000
Sn4 0.7500 0.6142 0.0000
Sn5 0.7500 0.0000 0.6142
Sn6 0.7500 0.3858 0.3858
Sn7 0.2500 0.3858 0.0000
Sn8 0.2500 0.0000 0.3858

Output
M_tot = 0.00 μB/atom
space-group type = P6_3/mcm
calculated formation energy = -0.709 eV/atom
total energy = -33.728 eV per atom

# 5
FeReMo | SCAN | single point on PBEsol structure

a = 2.5971 Å, b = 4.3014 Å, c = 4.3014 Å
α = 120.00°, β = 90.00°, γ = 90.00°
Site moments in Bohr magnetons follow the coordinates.
Element x y z (fractional)
Fe1 0.0003 0.0000 0.0000  2.88
Re1 0.3374 0.3333 0.6667  0.09
Mo1 0.6623 0.6667 0.3333  -0.04

Output
polymorph energy (0 for the lowest one) = 0 meV/atom
M_tot = 0.97 μB/atom
space-group type = P3m1
calculated formation energy = -0.016 eV/atom
total energy = -41.387 eV per atom

# 6
Na2AlPt2 | SCAN | single point on PBEsol structure

a = 4.9286 Å, b = 6.2449 Å, c = 6.2449 Å
α = 90.00°, β = 90.00°, γ = 90.00°
Element x y z (fractional)
Al1 0.0000 0.0000 0.0000
Al2 0.0000 0.5000 0.5000
Pt1 0.0000 0.1430 0.3570
Pt2 0.0000 0.8570 0.6430
Pt3 0.0000 0.3570 0.8570
Pt4 0.0000 0.6430 0.1430
Na1 0.5000 0.8317 0.3317
Na2 0.5000 0.1683 0.6683
Na3 0.5000 0.3317 0.1683
Na4 0.5000 0.6683 0.8317

Output
M_tot = 0.00 μB/atom
space-group type = P4/mbm
calculated formation energy = -0.598 eV/atom
total energy = -31.912 eV per atom

> Number 6 is which compound?

Na2AlPt2